The following is a DFT calculation (meta-GGA SCAN) of a PBEsol-optimized structure of LiBH4.

Lattice parameters (Å, degrees): 3.9824 3.9824 3.9824 60.00 60.00 60.00
Element x y z (fractional)
Li  0.0000  0.0000  0.0000
B  0.5000  0.5000  0.5000
H  0.1240  0.6253  0.6253
H  0.6253  0.1240  0.6253
H  0.6253  0.6253  0.1240
H  0.6253  0.6253  0.6253

## Properties
D(E_F) ... 0.0 states/eV per cell
Space-group type ... No. 216
Final energy ... -4.262 eV/atom
Total moment ... 0.0 μB per formula unit
Crystal system ... cubic
Energy above the lowest structure with this stoichiometry ... 0.068 eV/atom

The following is a DFT calculation (meta-GGA SCAN) of a PBEsol-optimized structure of LiB6H6.

Lattice parameters (Å, degrees): 9.4010 9.4010 9.4010 90.00 90.00 90.00
Element x y z (fractional)
Li  0.1447  0.1447  0.1447
Li  0.1447  0.3553  0.6447
Li  0.3553  0.6447  0.1447
Li  0.3553  0.8553  0.6447
Li  0.6447  0.1447  0.3553
Li  0.6447  0.3553  0.8553
Li  0.8553  0.6447  0.3553
Li  0.8553  0.8553  0.8553
B  0.0378  0.5387  0.8282
B  0.0378  0.9613  0.3282
B  0.0387  0.6718  0.9622
B  0.0387  0.8282  0.4622
B  0.0901  0.1236  0.4083
B  0.0901  0.3764  0.9083
B  0.0917  0.5901  0.1236
B  0.0917  0.9099  0.6236
B  0.1236  0.0917  0.5901
B  0.1236  0.4083  0.0901
B  0.1718  0.5378  0.9613
B  0.1718  0.9622  0.4613
B  0.3282  0.0378  0.9613
B  0.3282  0.4622  0.4613
B  0.3764  0.5917  0.5901
B  0.3764  0.9083  0.0901
B  0.4083  0.0901  0.1236
B  0.4083  0.4099  0.6236
B  0.4099  0.6236  0.4083
B  0.4099  0.8764  0.9083
B  0.4613  0.1718  0.9622
B  0.4613  0.3282  0.4622
B  0.4622  0.0387  0.8282
B  0.4622  0.4613  0.3282
B  0.5378  0.5387  0.6718
B  0.5378  0.9613  0.1718
B  0.5387  0.6718  0.5378
B  0.5387  0.8282  0.0378
B  0.5901  0.1236  0.0917
B  0.5901  0.3764  0.5917
B  0.5917  0.5901  0.3764
B  0.5917  0.9099  0.8764
B  0.6236  0.0917  0.9099
B  0.6236  0.4083  0.4099
B  0.6718  0.5378  0.5387
B  0.6718  0.9622  0.0387
B  0.8282  0.0378  0.5387
B  0.8282  0.4622  0.0387
B  0.8764  0.5917  0.9099
B  0.8764  0.9083  0.4099
B  0.9083  0.0901  0.3764
B  0.9083  0.4099  0.8764
B  0.9099  0.6236  0.0917
B  0.9099  0.8764  0.5917
B  0.9613  0.1718  0.5378
B  0.9613  0.3282  0.0378
B  0.9622  0.0387  0.6718
B  0.9622  0.4613  0.1718
H  0.0619  0.5650  0.7044
H  0.0619  0.9350  0.2044
H  0.0650  0.7044  0.4381
H  0.0650  0.7956  0.9381
H  0.1545  0.6548  0.2152
H  0.1545  0.8452  0.7152
H  0.1548  0.2152  0.3455
H  0.1548  0.2848  0.8455
H  0.2044  0.0619  0.9350
H  0.2044  0.4381  0.4350
H  0.2152  0.1545  0.6548
H  0.2152  0.3455  0.1548
H  0.2848  0.6545  0.6548
H  0.2848  0.8455  0.1548
H  0.2956  0.5619  0.9350
H  0.2956  0.9381  0.4350
H  0.3452  0.7152  0.3455
H  0.3452  0.7848  0.8455
H  0.3455  0.1548  0.2152
H  0.3455  0.3452  0.7152
H  0.4350  0.2044  0.4381
H  0.4350  0.2956  0.9381
H  0.4381  0.0650  0.7044
H  0.4381  0.4350  0.2044
H  0.5619  0.5650  0.7956
H  0.5619  0.9350  0.2956
H  0.5650  0.7044  0.0619
H  0.5650  0.7956  0.5619
H  0.6545  0.6548  0.2848
H  0.6545  0.8452  0.7848
H  0.6548  0.2152  0.1545
H  0.6548  0.2848  0.6545
H  0.7044  0.0619  0.5650
H  0.7044  0.4381  0.0650
H  0.7152  0.1545  0.8452
H  0.7152  0.3455  0.3452
H  0.7848  0.6545  0.8452
H  0.7848  0.8455  0.3452
H  0.7956  0.5619  0.5650
H  0.7956  0.9381  0.0650
H  0.8452  0.7152  0.1545
H  0.8452  0.7848  0.6545
H  0.8455  0.1548  0.2848
H  0.8455  0.3452  0.7848
H  0.9350  0.2044  0.0619
H  0.9350  0.2956  0.5619
H  0.9381  0.0650  0.7956
H  0.9381  0.4350  0.2956

## Properties
D(E_F) ... 0.0 states/eV per cell
Space-group type ... No. 205
Final energy ... -5.578 eV/atom
Total moment ... 0.0 μB per formula unit
Crystal system ... cubic
Energy above the lowest structure with this stoichiometry ... 0.000 eV/atom

The following is a DFT calculation (meta-GGA SCAN) of a PBEsol-optimized structure of LiBH4.

Lattice parameters (Å, degrees): 7.1443 4.2813 6.5020 90.00 90.00 90.00
Element x y z (fractional)
Li  0.1535  0.2500  0.1128
Li  0.3465  0.7500  0.6128
Li  0.6535  0.2500  0.3872
Li  0.8465  0.7500  0.8872
B  0.1915  0.7500  0.9237
B  0.3085  0.2500  0.4237
B  0.6915  0.7500  0.5763
B  0.8085  0.2500  0.0763
H  0.0910  0.7500  0.0770
H  0.0967  0.7500  0.7653
H  0.2052  0.0204  0.4222
H  0.2052  0.4796  0.4222
H  0.2948  0.5204  0.9222
H  0.2948  0.9796  0.9222
H  0.4033  0.2500  0.2653
H  0.4090  0.2500  0.5770
H  0.5910  0.7500  0.4230
H  0.5967  0.7500  0.7347
H  0.7052  0.0204  0.0778
H  0.7052  0.4796  0.0778
H  0.7948  0.5204  0.5778
H  0.7948  0.9796  0.5778
H  0.9033  0.2500  0.2347
H  0.9090  0.2500  0.9230

## Properties
D(E_F) ... 0.0 states/eV per cell
Space-group type ... No. 62
Final energy ... -4.331 eV/atom
Total moment ... 0.0 μB per formula unit
Crystal system ... orthorhombic
Energy above the lowest structure with this stoichiometry ... 0.000 eV/atom

The following is a DFT calculation (meta-GGA SCAN) of a PBEsol-optimized structure of LiBH4.

Lattice parameters (Å, degrees): 4.1351 4.1351 7.2003 90.00 90.00 120.00
Element x y z (fractional)
Li  0.3333  0.6667  0.0000
Li  0.6667  0.3333  0.5000
B  0.3333  0.6667  0.5669
B  0.6667  0.3333  0.0669
H  0.1723  0.3446  0.5084
H  0.1723  0.8277  0.5084
H  0.3333  0.6667  0.7363
H  0.3446  0.1723  0.0084
H  0.6554  0.8277  0.5084
H  0.6667  0.3333  0.2363
H  0.8277  0.1723  0.0084
H  0.8277  0.6554  0.0084

## Properties
D(E_F) ... 0.0 states/eV per cell
Space-group type ... No. 186
Final energy ... -4.295 eV/atom
Total moment ... 0.0 μB per formula unit
Crystal system ... hexagonal
Energy above the lowest structure with this stoichiometry ... 0.036 eV/atom

The following is a DFT calculation (meta-GGA SCAN) of a PBEsol-optimized structure of RbLiMgB4H16.

Lattice parameters (Å, degrees): 8.0650 7.6695 7.6695 74.72 90.00 90.00
Element x y z (fractional)
Rb  0.0000  0.0000  0.0000
Rb  0.5000  0.5000  0.5000
Li  0.0000  0.3572  0.3572
Li  0.5000  0.8572  0.8572
Mg  0.0000  0.6427  0.6427
Mg  0.5000  0.1427  0.1427
B  0.1045  0.6732  0.3367
B  0.2459  0.7497  0.7578
B  0.2541  0.2497  0.2578
B  0.3955  0.1732  0.8367
B  0.6045  0.8367  0.1732
B  0.7459  0.2578  0.2497
B  0.7541  0.7578  0.7497
B  0.8955  0.3367  0.6732
H  0.0182  0.7857  0.3857
H  0.0208  0.6148  0.2311
H  0.1315  0.8525  0.6881
H  0.1344  0.2931  0.1578
H  0.1491  0.5479  0.4659
H  0.2165  0.5875  0.7742
H  0.2290  0.7500  0.2644
H  0.2331  0.2628  0.4119
H  0.2669  0.7628  0.9119
H  0.2710  0.2500  0.7644
H  0.2835  0.0875  0.2742
H  0.3509  0.0479  0.9659
H  0.3656  0.7931  0.6578
H  0.3685  0.3525  0.1881
H  0.4792  0.1148  0.7311
H  0.4818  0.2857  0.8857
H  0.5182  0.8857  0.2857
H  0.5208  0.7311  0.1148
H  0.6315  0.1881  0.3525
H  0.6344  0.6578  0.7931
H  0.6491  0.9659  0.0479
H  0.7165  0.2742  0.0875
H  0.7290  0.7644  0.2500
H  0.7331  0.9119  0.7628
H  0.7669  0.4119  0.2628
H  0.7710  0.2644  0.7500
H  0.7835  0.7742  0.5875
H  0.8509  0.4659  0.5479
H  0.8656  0.1578  0.2931
H  0.8685  0.6881  0.8525
H  0.9792  0.2311  0.6148
H  0.9818  0.3857  0.7857

## Properties
D(E_F) ... 0.0 states/eV per cell
Space-group type ... No. 41
Final energy ... -5.278 eV/atom
Total moment ... 0.0 μB per formula unit
Crystal system ... orthorhombic

The following is a DFT calculation (meta-GGA SCAN) of a PBEsol-optimized structure of RbLiMnB4H16.

Lattice parameters (Å, degrees): 8.0300 7.6515 7.6515 75.31 90.00 90.00
Element x y z (fractional)
Rb  0.0000  0.0000  0.0000
Rb  0.5000  0.5000  0.5000
Li  0.0000  0.3581  0.3581
Li  0.5000  0.8581  0.8581
Mn  0.0000  0.6418  0.6418
Mn  0.5000  0.1418  0.1418
B  0.1018  0.6738  0.3386
B  0.2422  0.7496  0.7588
B  0.2578  0.2496  0.2588
B  0.3982  0.1738  0.8386
B  0.6018  0.8386  0.1738
B  0.7422  0.2588  0.2496
B  0.7578  0.7588  0.7496
B  0.8982  0.3386  0.6738
H  0.0081  0.7806  0.3922
H  0.0205  0.6135  0.2313
H  0.1289  0.8533  0.6846
H  0.1352  0.2867  0.1611
H  0.1488  0.5486  0.4672
H  0.2079  0.5865  0.7779
H  0.2237  0.7576  0.2686
H  0.2371  0.2664  0.4122
H  0.2629  0.7664  0.9122
H  0.2763  0.2576  0.7686
H  0.2921  0.0865  0.2779
H  0.3512  0.0486  0.9672
H  0.3648  0.7867  0.6611
H  0.3711  0.3533  0.1846
H  0.4795  0.1135  0.7313
H  0.4919  0.2806  0.8922
H  0.5081  0.8922  0.2806
H  0.5205  0.7313  0.1135
H  0.6289  0.1846  0.3533
H  0.6352  0.6611  0.7867
H  0.6488  0.9672  0.0486
H  0.7079  0.2779  0.0865
H  0.7237  0.7686  0.2576
H  0.7371  0.9122  0.7664
H  0.7629  0.4122  0.2664
H  0.7763  0.2686  0.7576
H  0.7921  0.7779  0.5865
H  0.8512  0.4672  0.5486
H  0.8648  0.1611  0.2867
H  0.8711  0.6846  0.8533
H  0.9795  0.2313  0.6135
H  0.9919  0.3922  0.7806

## Properties
D(E_F) ... 0.0 states/eV per cell
Space-group type ... No. 41
Final energy ... -5.799 eV/atom
Total moment ... 5.0 μB per formula unit
Crystal system ... orthorhombic